# 1
VASP calculation (PBE) on crystalline Be2TlCd at its relaxed geometry.

Calculated values
The value obtained for the magnetic moment is 0.000 μB/f.u. As for the total energy: -1.96 eV per atom. The density comes out at 8.181 g/cm3. The value obtained for the offset from the most stable computed form is 263 meV per atom. As for the formation enthalpy at 0 K: 0.73 eV/atom.

Structure (CIF):
```
data_Be2TlCd
_cell_length_a 4.179
_cell_length_b 4.179
_cell_length_c 7.783
_cell_angle_alpha 90.00
_cell_angle_beta 90.00
_cell_angle_gamma 90.00
_symmetry_space_group_name_H-M 'I 4/m m m'
_symmetry_Int_Tables_number 139
_symmetry_space_group_name_Hall '-I 4 2'
loop_
_atom_site_label
_atom_site_fract_x
_atom_site_fract_y
_atom_site_fract_z
_atom_site_occupancy
Be1 0.000 0.500 0.250 1
Tl1 0.000 0.000 0.000 1
Cd1 0.000 0.000 0.500 1
```

# 2
VASP calculation (PBE) on crystalline In2BiBr at its relaxed geometry.

Calculated values
The value obtained for the magnetic moment is 0.000 μB/f.u. As for the total energy: -2.93 eV per atom. The density comes out at 7.145 g/cm3. The value obtained for the formation energy (no corrections) is -176.6 meV per atom. The value obtained for the offset from the most stable computed form is 45 meV per atom.

Structure (CIF):
```
data_In2BiBr
_cell_length_a 3.634
_cell_length_b 3.634
_cell_length_c 9.123
_cell_angle_alpha 90.00
_cell_angle_beta 90.00
_cell_angle_gamma 90.00
_symmetry_space_group_name_H-M 'P 4/m m m'
_symmetry_Int_Tables_number 123
_symmetry_space_group_name_Hall '-P 4 2'
loop_
_atom_site_label
_atom_site_fract_x
_atom_site_fract_y
_atom_site_fract_z
_atom_site_occupancy
In1 0.000 0.000 0.239 1
Bi1 0.500 0.500 0.500 1
Br1 0.500 0.500 0.000 1
```

# 3
VASP calculation (PBE) on crystalline Ac2PuScS6 at its relaxed geometry.

Calculated values
The value obtained for the magnetic moment is 5.000 μB/f.u. As for the total energy: -7.34 eV per atom. The density comes out at 6.064 g/cm3. The value obtained for the formation energy (no corrections) is -1977.6 meV per atom.

Structure (CIF):
```
data_Ac2PuScS6
_cell_length_a 6.843
_cell_length_b 7.474
_cell_length_c 12.069
_cell_angle_alpha 90.00
_cell_angle_beta 123.90
_cell_angle_gamma 90.00
_symmetry_space_group_name_H-M 'P 1 21/c 1'
_symmetry_Int_Tables_number 14
loop_
_symmetry_equiv_pos_as_xyz
'x,y,z'
'-x,-y,-z'
'-x,y+1/2,-z+1/2'
'x,-y+1/2,z+1/2'
loop_
_atom_site_label
_atom_site_fract_x
_atom_site_fract_y
_atom_site_fract_z
_atom_site_occupancy
Ac1 0.219 0.088 0.250 1
Pu1 0.500 0.000 0.000 1
Sc1 0.000 0.000 0.500 1
S1 0.117 0.198 0.940 1
S2 0.250 0.685 0.943 1
S3 0.358 0.035 0.741 1
```

# 4
VASP calculation (PBE) on crystalline Tb2MgGa3Ir4 at its relaxed geometry.

Calculated values
The value obtained for the magnetic moment is 0.000 μB/f.u. As for the total energy: -6.21 eV per atom. The density comes out at 11.783 g/cm3. As for the formation enthalpy at 0 K: -0.67 eV/atom.

Structure (CIF):
```
data_Tb2MgGa3Ir4
_cell_length_a 4.162
_cell_length_b 4.162
_cell_length_c 10.739
_cell_angle_alpha 90.00
_cell_angle_beta 90.00
_cell_angle_gamma 90.00
_symmetry_space_group_name_H-M 'P -4 m 2'
_symmetry_Int_Tables_number 115
loop_
_symmetry_equiv_pos_as_xyz
'x,y,z'
'y,-x,-z'
'-x,-y,z'
'-y,x,-z'
'-x,y,z'
'-y,-x,-z'
'x,-y,z'
'y,x,-z'
loop_
_atom_site_label
_atom_site_fract_x
_atom_site_fract_y
_atom_site_fract_z
_atom_site_occupancy
Tb1 0.000 0.500 0.235 1
Mg1 0.000 0.000 0.500 1
Ga1 0.000 0.500 0.874 1
Ga2 0.500 0.500 0.500 1
Ir1 0.000 0.000 0.000 1
Ir2 0.000 0.500 0.646 1
Ir3 0.500 0.500 0.000 1
```

# 5
VASP calculation (PBE) on crystalline ScB3Br at its relaxed geometry.

Calculated values
The value obtained for the magnetic moment is 2.091 μB/f.u. As for the total energy: -3.49 eV per atom. The density comes out at 2.424 g/cm3. The value obtained for the formation energy (no corrections) is 2114.9 meV per atom. The value obtained for the offset from the most stable computed form is 123 meV per atom.

Structure (CIF):
```
data_ScB3Br
_cell_length_a 4.759
_cell_length_b 4.759
_cell_length_c 4.759
_cell_angle_alpha 90.00
_cell_angle_beta 90.00
_cell_angle_gamma 90.00
_symmetry_space_group_name_H-M 'P m -3 m'
_symmetry_Int_Tables_number 221
_symmetry_space_group_name_Hall '-P 4 2 3'
loop_
_atom_site_label
_atom_site_fract_x
_atom_site_fract_y
_atom_site_fract_z
_atom_site_occupancy
Sc1 0.000 0.000 0.000 1
B1 0.000 0.000 0.500 1
Br1 0.500 0.500 0.500 1
```

# 6
VASP calculation (PBE) on crystalline AcZn4Ir2 at its relaxed geometry.

Calculated values
The value obtained for the magnetic moment is 0.000 μB/f.u. As for the total energy: -4.25 eV per atom. The density comes out at 11.297 g/cm3. The value obtained for the offset from the most stable computed form is 0 meV per atom. As for the formation enthalpy at 0 K: -0.41 eV/atom.

Structure (CIF):
```
data_AcZn4Ir2
_cell_length_a 7.917
_cell_length_b 7.917
_cell_length_c 4.095
_cell_angle_alpha 90.00
_cell_angle_beta 90.00
_cell_angle_gamma 90.00
_symmetry_space_group_name_H-M 'P 42/m n m'
_symmetry_Int_Tables_number 136
_symmetry_space_group_name_Hall '-P 4n 2n'
loop_
_atom_site_label
_atom_site_fract_x
_atom_site_fract_y
_atom_site_fract_z
_atom_site_occupancy
Ac1 0.000 0.000 0.000 1
Zn1 0.087 0.346 0.500 1
Ir1 0.217 0.783 0.500 1
```

# 7
VASP calculation (PBE) on crystalline SiHgMo at its relaxed geometry.

Calculated values
The value obtained for the magnetic moment is 0.000 μB/f.u. As for the total energy: -5.49 eV per atom. The density comes out at 9.203 g/cm3. The value obtained for the formation energy (no corrections) is 24.2 meV per atom. The value obtained for the offset from the most stable computed form is 2 meV per atom.

Structure (CIF):
```
data_SiHgMo
_cell_length_a 3.130
_cell_length_b 3.131
_cell_length_c 11.952
_cell_angle_alpha 90.44
_cell_angle_beta 90.07
_cell_angle_gamma 90.17
_symmetry_space_group_name_H-M 'P -1'
_symmetry_Int_Tables_number 2
loop_
_symmetry_equiv_pos_as_xyz
'x,y,z'
'-x,-y,-z'
loop_
_atom_site_label
_atom_site_fract_x
_atom_site_fract_y
_atom_site_fract_z
_atom_site_occupancy
Si1 0.250 0.245 0.321 1
Hg1 0.167 0.159 0.105 1
Mo1 0.252 0.254 0.565 1
```

Question: magnetic moment of number 4 (Tb2MgGa3Ir4)?
Answer: 0.000 μB/f.u.